No. 1
First-principles (PBE) data for a geometry-optimized NaTl17In11 structure, as listed in the Alexandria database.

Structure (CIF):
```
data_NaTl17In11
_chemical_formula_sum 'Na2 Tl34 In22'
_space_group_name_H-M_alt 'C 1 m 1'
_space_group_IT_number 8
_space_group_name_Hall 'C -2y'
_cell_length_a 11.9778
_cell_length_b 16.7747
_cell_length_c 10.3669
_cell_angle_alpha 90.00
_cell_angle_beta 124.68
_cell_angle_gamma 90.00
loop_
_atom_site_label
_atom_site_type_symbol
_atom_site_fract_x
_atom_site_fract_y
_atom_site_fract_z
Na1 Na 0.0000 0.0000 0.0000
Tl1 Tl 0.1087 0.3013 0.4961
Tl2 Tl 0.2141 0.0000 0.9066
Tl3 Tl 0.2667 0.1441 0.1788
Tl4 Tl 0.2914 0.2003 0.8612
Tl5 Tl 0.3027 0.5000 0.5340
Tl6 Tl 0.3079 0.5000 0.1792
Tl7 Tl 0.3665 0.1605 0.5778
Tl8 Tl 0.4484 0.0000 0.8226
Tl9 Tl 0.4660 0.3409 0.7798
Tl10 Tl 0.4821 0.0000 0.4555
Tl11 Tl 0.4851 0.3234 0.1806
In1 In 0.0297 0.4084 0.1795
In2 In 0.0821 0.0948 0.5549
In3 In 0.1213 0.3170 0.9886
In4 In 0.1768 0.0000 0.3707
In5 In 0.2098 0.4071 0.8059
In6 In 0.3118 0.3167 0.3650
```

Properties
DOS(E_F), states/eV/f.u.: 11.2
Density, g/cm3: 9.23
ΔH_f (0 K), eV per formula unit: 0.008

No. 2
First-principles (PBE) data for a geometry-optimized TaGaReRh structure, as listed in the Alexandria database.

Structure (CIF):
```
data_TaGaReRh
_chemical_formula_sum 'Ta4 Ga4 Re4 Rh4'
_space_group_name_H-M_alt 'F -4 3 m'
_space_group_IT_number 216
_space_group_name_Hall 'F -4 2 3'
_cell_length_a 6.2656
_cell_length_b 6.2656
_cell_length_c 6.2656
_cell_angle_alpha 90.00
_cell_angle_beta 90.00
_cell_angle_gamma 90.00
loop_
_atom_site_label
_atom_site_type_symbol
_atom_site_fract_x
_atom_site_fract_y
_atom_site_fract_z
Ta1 Ta 0.0000 0.0000 0.0000
Ga1 Ga 0.0000 0.0000 0.5000
Re1 Re 0.2500 0.2500 0.7500
Rh1 Rh 0.2500 0.2500 0.2500
```

Properties
DOS(E_F), states/eV/f.u.: 0.2
Density, g/cm3: 14.58
ΔH_f (0 K), eV per formula unit: -1.464

No. 3
First-principles (PBE) data for a geometry-optimized SmTmSi2Pd5 structure, as listed in the Alexandria database.

Structure (CIF):
```
data_SmTmSi2Pd5
_chemical_formula_sum 'Sm1 Tm1 Si2 Pd5'
_space_group_name_H-M_alt 'P 4/m m m'
_space_group_IT_number 123
_space_group_name_Hall '-P 4 2'
_cell_length_a 4.1891
_cell_length_b 4.1891
_cell_length_c 8.9946
_cell_angle_alpha 90.00
_cell_angle_beta 90.00
_cell_angle_gamma 90.00
loop_
_atom_site_label
_atom_site_type_symbol
_atom_site_fract_x
_atom_site_fract_y
_atom_site_fract_z
Sm1 Sm 0.0000 0.0000 0.0000
Tm1 Tm 0.0000 0.0000 0.5000
Si1 Si 0.5000 0.5000 0.3704
Pd1 Pd 0.0000 0.5000 0.2365
Pd2 Pd 0.5000 0.5000 0.0000
```

Properties
E_tot, Ha/atom: -0.2211
DOS(E_F), states/eV/f.u.: 3.1
Density, g/cm3: 9.55

No. 4
First-principles (PBE) data for a geometry-optimized SrAgSe2Br structure, as listed in the Alexandria database.

Structure (CIF):
```
data_SrAgSe2Br
_chemical_formula_sum 'Sr1 Ag1 Se2 Br1'
_space_group_name_H-M_alt 'P 4/m m m'
_space_group_IT_number 123
_space_group_name_Hall '-P 4 2'
_cell_length_a 5.1215
_cell_length_b 5.1215
_cell_length_c 5.4296
_cell_angle_alpha 90.00
_cell_angle_beta 90.00
_cell_angle_gamma 90.00
loop_
_atom_site_label
_atom_site_type_symbol
_atom_site_fract_x
_atom_site_fract_y
_atom_site_fract_z
Sr1 Sr 0.0000 0.0000 0.0000
Ag1 Ag 0.5000 0.5000 0.5000
Se1 Se 0.0000 0.5000 0.5000
Br1 Br 0.5000 0.5000 0.0000
```

Properties
DOS(E_F), states/eV/f.u.: 2.1
Density, g/cm3: 5.05
ΔE to the lowest computed polymorph, meV/atom: 0.0

No. 5
First-principles (PBE) data for a geometry-optimized TmU3Tl3Se8 structure, as listed in the Alexandria database.

Structure (CIF):
```
data_TmU3Tl3Se8
_chemical_formula_sum 'Tm3 U9 Tl9 Se24'
_space_group_name_H-M_alt 'R -3 m'
_space_group_IT_number 166
_space_group_name_Hall '-R 3 2"'
_cell_length_a 8.2844
_cell_length_b 8.2844
_cell_length_c 23.6351
_cell_angle_alpha 90.00
_cell_angle_beta 90.00
_cell_angle_gamma 120.00
loop_
_atom_site_label
_atom_site_type_symbol
_atom_site_fract_x
_atom_site_fract_y
_atom_site_fract_z
Tm1 Tm 0.0000 0.0000 0.0000
U1 U 0.0000 0.5000 0.0000
Tl1 Tl 0.0000 0.5000 0.5000
Se1 Se 0.0000 0.0000 0.2646
Se2 Se 0.0022 0.5011 0.7339
```

Properties
E_tot, Ha/atom: -0.2191
DOS(E_F), states/eV/f.u.: 15.5
Density, g/cm3: 7.55

No. 6
First-principles (PBE) data for a geometry-optimized Ti3SeO structure, as listed in the Alexandria database.

Structure (CIF):
```
data_Ti3SeO
_chemical_formula_sum 'Ti3 Se1 O1'
_space_group_name_H-M_alt 'P m -3 m'
_space_group_IT_number 221
_space_group_name_Hall '-P 4 2 3'
_cell_length_a 4.1097
_cell_length_b 4.1097
_cell_length_c 4.1097
_cell_angle_alpha 90.00
_cell_angle_beta 90.00
_cell_angle_gamma 90.00
loop_
_atom_site_label
_atom_site_type_symbol
_atom_site_fract_x
_atom_site_fract_y
_atom_site_fract_z
Ti1 Ti 0.0000 0.0000 0.5000
Se1 Se 0.5000 0.5000 0.5000
O1 O 0.0000 0.0000 0.0000
```

Properties
DOS(E_F), states/eV/f.u.: 4.5
Density, g/cm3: 5.71
ΔE to the lowest computed polymorph, meV/atom: 216.9

No. 7
First-principles (PBE) data for a geometry-optimized Cu3Br structure, as listed in the Alexandria database.

Structure (CIF):
```
data_Cu3Br
_chemical_formula_sum 'Cu6 Br2'
_space_group_name_H-M_alt 'C 1 2/m 1'
_space_group_IT_number 12
_space_group_name_Hall '-C 2y'
_cell_length_a 7.4537
_cell_length_b 3.4703
_cell_length_c 5.6372
_cell_angle_alpha 90.00
_cell_angle_beta 90.24
_cell_angle_gamma 90.00
loop_
_atom_site_label
_atom_site_type_symbol
_atom_site_fract_x
_atom_site_fract_y
_atom_site_fract_z
Cu1 Cu 0.0000 0.0000 0.0000
Cu2 Cu 0.1999 0.5000 0.1542
Br1 Br 0.0000 0.5000 0.5000
```

Properties
DOS(E_F), states/eV/f.u.: 1.0
Density, g/cm3: 6.16
ΔE to the lowest computed polymorph, meV/atom: 153.8

No. 8
First-principles (PBE) data for a geometry-optimized KGa4Pd structure, as listed in the Alexandria database.

Structure (CIF):
```
data_KGa4Pd
_chemical_formula_sum 'K4 Ga16 Pd4'
_space_group_name_H-M_alt 'I 4/m c m'
_space_group_IT_number 140
_space_group_name_Hall '-I 4 2c'
_cell_length_a 6.1428
_cell_length_b 6.1428
_cell_length_c 15.7534
_cell_angle_alpha 90.00
_cell_angle_beta 90.00
_cell_angle_gamma 90.00
loop_
_atom_site_label
_atom_site_type_symbol
_atom_site_fract_x
_atom_site_fract_y
_atom_site_fract_z
K1 K 0.0000 0.0000 0.0000
Ga1 Ga 0.1499 0.3501 0.1738
Pd1 Pd 0.0000 0.0000 0.2500
```

Properties
DOS(E_F), states/eV/f.u.: 1.5
Density, g/cm3: 4.74
ΔH_f (0 K), eV per formula unit: -1.248
ΔE to the lowest computed polymorph, meV/atom: 24.6

No. 9
First-principles (PBE) data for a geometry-optimized AcTb2Tl2Zn2 structure, as listed in the Alexandria database.

Structure (CIF):
```
data_AcTb2Tl2Zn2
_chemical_formula_sum 'Ac3 Tb6 Tl6 Zn6'
_space_group_name_H-M_alt 'R -3 m'
_space_group_IT_number 166
_space_group_name_Hall '-R 3 2"'
_cell_length_a 4.8619
_cell_length_b 4.8619
_cell_length_c 28.2359
_cell_angle_alpha 90.00
_cell_angle_beta 90.00
_cell_angle_gamma 120.00
loop_
_atom_site_label
_atom_site_type_symbol
_atom_site_fract_x
_atom_site_fract_y
_atom_site_fract_z
Ac1 Ac 0.0000 0.0000 0.0000
Tb1 Tb 0.0000 0.0000 0.1336
Tl1 Tl 0.0000 0.0000 0.2594
Zn1 Zn 0.0000 0.0000 0.4339
```

Properties
DOS(E_F), states/eV/f.u.: 4.2
Density, g/cm3: 9.35
ΔH_f (0 K), eV per formula unit: -1.400

No. 10
First-principles (PBE) data for a geometry-optimized Sr2SbH structure, as listed in the Alexandria database.

Structure (CIF):
```
data_Sr2SbH
_chemical_formula_sum 'Sr4 Sb2 H2'
_space_group_name_H-M_alt 'P 1 21/m 1'
_space_group_IT_number 11
_space_group_name_Hall '-P 2yb'
_cell_length_a 6.6371
_cell_length_b 4.6200
_cell_length_c 8.3439
_cell_angle_alpha 90.00
_cell_angle_beta 106.18
_cell_angle_gamma 90.00
loop_
_atom_site_label
_atom_site_type_symbol
_atom_site_fract_x
_atom_site_fract_y
_atom_site_fract_z
Sr1 Sr 0.2214 0.2500 0.4132
Sr2 Sr 0.2407 0.2500 0.9600
Sb1 Sb 0.3192 0.7500 0.7036
H1 H 0.1426 0.7500 0.1301
```

Properties
Density, g/cm3: 4.03
ΔE to the lowest computed polymorph, meV/atom: 0.0

Number 1: M_tot 0.00 μB/cell. Number 2: M_tot 0.00 μB/cell. Number 3: M_tot 0.00 μB/cell. Number 4: M_tot 0.00 μB/cell. Number 5: M_tot 24.00 μB/cell. Number 6: M_tot 0.87 μB/cell. Number 7: M_tot 0.00 μB/cell. Number 8: M_tot 0.00 μB/cell. Number 9: M_tot 0.00 μB/cell. Number 10: M_tot 0.00 μB/cell.